Record 1
Computed, not measured: a geometry-optimized KRb2TcHg structure at the PBE level of DFT.

Unit cell a=7.192 b=7.192 c=5.802 alpha=90.00 beta=90.00 gamma=90.00
Atoms (fractional coordinates):
K: 0.000 0.000 0.000
Rb: 0.000 0.500 0.000
Rb: 0.500 0.000 0.000
Tc: 0.000 0.000 0.500
Hg: 0.500 0.500 0.500

Values from the calculation:
- total moment (μB per formula unit) = 3.38
- density (Mg/m³) = 2.8
- E_tot (eV/atom) = -1.539
- formation energy (eV/atom) = 1.201

***

Record 2
Computed, not measured: a geometry-optimized K2RbHgTe structure at the PBE level of DFT.

Unit cell a=6.690 b=6.690 c=7.061 alpha=90.00 beta=90.00 gamma=90.00
Atoms (fractional coordinates):
K: 0.000 0.500 0.000
K: 0.500 0.000 0.000
Rb: 0.000 0.000 0.500
Hg: 0.500 0.500 0.500
Te: 0.000 0.000 0.000

Values from the calculation:
- total moment (μB per formula unit) = 0.00
- density (Mg/m³) = 2.6
- E_tot (eV/atom) = -1.840
- formation energy from raw total energies (eV per atom) = -0.52

***

Record 3
Computed, not measured: a geometry-optimized KRb2HgTe structure at the PBE level of DFT.

Unit cell a=7.054 b=7.054 c=6.685 alpha=90.00 beta=90.00 gamma=90.00
Atoms (fractional coordinates):
K: 0.000 0.000 0.000
Rb: 0.000 0.500 0.500
Rb: 0.500 0.000 0.500
Hg: 0.500 0.500 0.000
Te: 0.000 0.000 0.500

Values from the calculation:
- total moment (μB per formula unit) = 0.00
- density (Mg/m³) = 2.7
- E_tot (eV/atom) = -1.811
- formation energy from raw total energies (eV per atom) = -0.52

***

Record 4
Computed, not measured: a geometry-optimized KRb2TlHg structure at the PBE level of DFT.

Unit cell a=6.845 b=6.845 c=6.578 alpha=90.00 beta=90.00 gamma=90.00
Atoms (fractional coordinates):
K: 0.000 0.000 0.000
Rb: 0.000 0.500 0.500
Rb: 0.500 0.000 0.500
Tl: 0.500 0.500 0.000
Hg: 0.000 0.000 0.500

Values from the calculation:
- total moment (μB per formula unit) = 0.00
- density (Mg/m³) = 3.3
- excess energy over the best structure of this formula in the dataset (meV/atom) = 91
- E_tot (eV/atom) = -1.073
- formation energy (eV/atom) = 0.068